Entry 1:
This record from Alexandria via LeMat-Bulk describes a PBEsol-optimized structure of ReI2O. The functional is SCAN.

Results
* uncorrected formation energy: 1.09 eV per atom
* symmetry: Fm-3m, No. 225
* N(E_F): 0.721 states/eV per atom
* total moment: 0.250 μB per atom

abc: 4.5870 4.5870 4.5870
angles: 60.00 60.00 60.00
Last column: nearest neighbours and their distance in Å.
Positions (direct):
O: 0.0000 0.0000 0.0000  8 I 2.81
I: 0.7500 0.7500 0.7500  4 Re 2.81, 4 O 2.81
I: 0.2500 0.2500 0.2500  4 O 2.81, 4 Re 2.81
Re: 0.5000 0.5000 0.5000  8 I 2.81

Entry 2:
This record from Alexandria via LeMat-Bulk describes a PBEsol-optimized structure of YScIr2. The functional is SCAN.

Results
* symmetry: F-43m, No. 216
* ΔH_f (0 K): -0.449 eV per atom
* N(E_F): 1.313 states/eV per atom
* total moment: 0.000 μB per atom

abc: 4.6070 4.6070 4.6070
angles: 60.00 60.00 60.00
Last column: nearest neighbours and their distance in Å.
Positions (direct):
Y: 0.2500 0.2500 0.2500  4 Ir 2.82, 4 Sc 2.82
Ir: 0.7500 0.7500 0.7500  4 Sc 2.82, 4 Ir 2.82
Ir: 0.0000 0.0000 0.0000  4 Ir 2.82, 4 Y 2.82
Sc: 0.5000 0.5000 0.5000  4 Y 2.82, 4 Ir 2.82

Entry 3:
This record from Alexandria via LeMat-Bulk describes a PBEsol-optimized structure of Sr2InCu. The functional is SCAN.

Results
* symmetry: P4/mmm, No. 123
* ΔH_f (0 K): -0.197 eV per atom
* N(E_F): 0.752 states/eV per atom
* total moment: 0.000 μB per atom

abc: 3.7945 5.5300 5.5300
angles: 90.00 90.00 90.00
Last column: nearest neighbours and their distance in Å.
Positions (direct):
Sr: 0.0000 0.0000 0.5000  4 In 3.35, 4 Cu 3.35
Sr: 0.0000 0.5000 0.0000  4 In 3.35, 4 Cu 3.35
Cu: 0.5000 0.0000 0.0000  8 Sr 3.35
In: 0.5000 0.5000 0.5000  8 Sr 3.35

Entry 4:
This record from Alexandria via LeMat-Bulk describes a PBEsol-optimized structure of Cs2RbNa. The functional is SCAN.

Results
* symmetry: Fm-3m, No. 225
* ΔH_f (0 K): 0.024 eV per atom
* N(E_F): 0.701 states/eV per atom
* offset from the most stable computed form: 0 meV per atom
* total moment: 0.015 μB per atom

abc: 7.6315 7.6315 7.6315
angles: 60.00 60.00 60.00
Last column: nearest neighbours and their distance in Å.
Positions (direct):
Rb: 0.5000 0.5000 0.5000  8 Cs 4.67
Cs: 0.7500 0.7500 0.7500  4 Rb 4.67, 4 Na 4.67
Cs: 0.2500 0.2500 0.2500  4 Rb 4.67, 4 Na 4.67
Na: 0.0000 0.0000 0.0000  8 Cs 4.67

Entry 5:
This record from Alexandria via LeMat-Bulk describes a PBEsol-optimized structure of Lu2ZnGa. The functional is SCAN.

Results
* symmetry: Fm-3m, No. 225
* ΔH_f (0 K): -0.562 eV per atom
* N(E_F): 0.601 states/eV per atom
* total moment: 0.000 μB per atom

abc: 4.8514 4.8514 4.8514
angles: 60.00 60.00 60.00
Last column: nearest neighbours and their distance in Å.
Positions (direct):
Lu: 0.7500 0.7500 0.7500  4 Zn 2.97, 4 Ga 2.97
Lu: 0.2500 0.2500 0.2500  4 Zn 2.97, 4 Ga 2.97
Ga: 0.5000 0.5000 0.5000  8 Lu 2.97
Zn: 0.0000 0.0000 0.0000  8 Lu 2.97

Entry 6:
This record from Alexandria via LeMat-Bulk describes a PBEsol-optimized structure of Li2ScTe. The functional is SCAN.

Results
* uncorrected formation energy: -0.55 eV per atom
* symmetry: Amm2, No. 38
* N(E_F): 0.385 states/eV per atom
* total moment: 0.217 μB per atom

abc: 3.8159 3.8744 6.2876
angles: 90.00 107.66 90.00
Last column: nearest neighbours and their distance in Å.
Positions (direct):
Li: 0.5821 0.5000 0.1641  1 Te 2.94, 4 Li 2.95
Li: 0.1768 0.0000 0.3536  2 Te 2.72, 4 Li 2.95
Sc: 0.9199 0.0000 0.8399  4 Te 2.90, 1 Li 3.08
Te: 0.3366 0.5000 0.6731  3 Li 2.72-2.94, 4 Sc 2.90